VASP calculation (PBEsol) on Re2AgSe after structural relaxation.

Unit cell a=2.871 b=2.871 c=7.961 alpha=90.00 beta=90.00 gamma=90.00
Fractional positions:
Se (0.000, 0.000, 0.453)
Re (0.000, 0.000, 0.030)
Re (0.500, 0.500, 0.245)
Ag (0.500, 0.500, 0.772)

The magnetic moment is 0.000 Bohr magnetons per cell. The density of states at the Fermi level is 2.85 states/eV/f.u. The calculation puts the volume at 16.41 Å³ per atom. As for the formation energy (no corrections): 1.319 eV per formula unit.